# RbCrOs2Cl, relaxed, DFT PBE
# Density of states at the Fermi level = 5.32 states/eV/f.u.
# Total magnetic moment = 0.197 μB per atom
# SG = No. 123
# Formation energy (no corrections) = 1213 meV/atom
data_RbCrOs2Cl
_cell_length_a 4.466
_cell_length_b 4.466
_cell_length_c 6.238
_cell_angle_alpha 90.00
_cell_angle_beta 90.00
_cell_angle_gamma 90.00
_space_group_name_H-M_alt 'P 1'
_space_group_IT_number 1
loop_
_space_group_symop_operation_xyz
'x,y,z'
loop_
_atom_site_label
_atom_site_fract_x
_atom_site_fract_y
_atom_site_fract_z
Rb1 0.000 0.000 0.000
Cr1 0.500 0.500 0.500
Os1 0.000 0.500 0.500
Os2 0.500 0.000 0.500
Cl1 0.500 0.500 0.000